Record 1
CaYMg2, relaxed, DFT PBE; SG = No. 216; E = -2.856 eV per atom
1.0
0.000 3.856 3.856
3.856 0.000 3.856
3.856 3.856 0.000
Ca Y Mg
1 1 2
direct
0.000 0.000 0.000
0.750 0.750 0.750
0.250 0.250 0.250
0.500 0.500 0.500

***

Record 2
CaYMg2, relaxed, DFT PBE; SG = No. 166; E = -2.864 eV per atom
1.0
1.806 1.043 10.833
-1.806 1.043 10.833
0.000 -2.086 10.833
Ca Y Mg
1 1 2
direct
0.000 0.000 0.000
0.500 0.500 0.500
0.248 0.248 0.248
0.752 0.752 0.752

***

Record 3
CaY4Mg, relaxed, DFT PBE; SG = No. 216; E = -4.668 eV per atom
1.0
0.000 4.668 4.668
4.668 0.000 4.668
4.668 4.668 0.000
Ca Y Mg
1 4 1
direct
0.000 0.000 0.000
0.376 0.376 0.376
0.376 0.376 0.873
0.376 0.873 0.376
0.873 0.376 0.376
0.750 0.750 0.750

***

Record 4
Ca2YMg, relaxed, DFT PBE; SG = No. 10; E = -2.959 eV per atom
1.0
5.502 0.000 0.000
0.000 4.330 0.000
-0.013 0.000 5.598
Ca Y Mg
2 1 1
direct
0.000 0.000 0.000
0.500 0.500 0.000
0.000 0.500 0.500
0.500 0.000 0.500

***

Record 5
Ca3YMg, relaxed, DFT PBE; SG = No. 221; excess energy over the best structure of this formula in the dataset = 400 meV/atom
1.0
6.170 0.000 0.000
0.000 6.170 0.000
0.000 0.000 6.170
Ca Y Mg
3 1 1
direct
0.000 0.000 0.500
0.000 0.500 0.000
0.500 0.000 0.000
0.000 0.000 0.000
0.500 0.500 0.500

***

Record 6
CaY3Mg, relaxed, DFT PBE; SG = No. 221; excess energy over the best structure of this formula in the dataset = 426 meV/atom
1.0
5.612 0.000 0.000
0.000 5.612 0.000
0.000 0.000 5.612
Ca Y Mg
1 3 1
direct
0.000 0.000 0.000
0.000 0.000 0.500
0.000 0.500 0.000
0.500 0.000 0.000
0.500 0.500 0.500

***

Record 7
Ca4YMg, relaxed, DFT PBE; SG = No. 216; E = -2.358 eV per atom
1.0
0.000 4.856 4.856
4.856 0.000 4.856
4.856 4.856 0.000
Ca Y Mg
4 1 1
direct
0.125 0.125 0.125
0.125 0.125 0.624
0.125 0.624 0.125
0.624 0.125 0.125
0.500 0.500 0.500
0.750 0.750 0.750

***

Record 8
CaY5Mg4, relaxed, DFT PBE; SG = No. 123; E = -4.130 eV per atom
1.0
3.802 0.000 0.000
0.000 3.802 0.000
0.000 0.000 20.323
Ca Y Mg
1 5 4
direct
0.000 0.000 0.000
0.500 0.500 0.131
0.500 0.500 0.313
0.500 0.500 0.500
0.500 0.500 0.687
0.500 0.500 0.869
0.000 0.000 0.221
0.000 0.000 0.406
0.000 0.000 0.594
0.000 0.000 0.779

***

Record 9
Ca2YMg6, relaxed, DFT PBE; SG = No. 191; E = -2.280 eV per atom
1.0
9.125 0.000 0.000
-4.563 7.903 0.000
0.000 0.000 3.502
Ca Y Mg
2 1 6
direct
0.333 0.667 0.000
0.667 0.333 0.000
0.000 0.000 0.000
0.000 0.329 0.500
0.000 0.671 0.500
0.329 0.000 0.500
0.329 0.329 0.500
0.671 0.000 0.500
0.671 0.671 0.500

***

Record 10
Ca2YMg, relaxed, DFT PBE; SG = No. 71; E = -2.951 eV per atom
1.0
-1.965 2.905 5.904
1.965 -2.905 5.904
1.965 2.905 -5.904
Ca Y Mg
2 1 1
direct
0.226 0.226 0.000
0.774 0.774 0.000
0.500 0.000 0.500
0.000 0.500 0.500

***

Record 11
Ca2YMg, relaxed, DFT PBE; SG = No. 8; E = -2.949 eV per atom
1.0
6.652 -1.953 0.000
6.652 1.953 0.000
-2.591 0.000 5.269
Ca Y Mg
2 1 1
direct
0.000 0.000 0.000
0.226 0.226 0.726
0.778 0.778 0.278
0.497 0.497 0.498

***

Record 12
Ca5YMg4, relaxed, DFT PBE; SG = No. 123; E = -2.305 eV per atom
1.0
3.753 0.000 0.000
0.000 3.753 0.000
0.000 0.000 22.974
Ca Y Mg
5 1 4
direct
0.000 0.000 0.000
0.000 0.000 0.191
0.000 0.000 0.384
0.000 0.000 0.616
0.000 0.000 0.809
0.500 0.500 0.500
0.500 0.500 0.096
0.500 0.500 0.288
0.500 0.500 0.712
0.500 0.500 0.904

***

Record 13
CaYMg4, relaxed, DFT PBE; SG = No. 216; E = -2.570 eV per atom
1.0
0.000 4.325 4.325
4.325 0.000 4.325
4.325 4.325 0.000
Ca Y Mg
1 1 4
direct
0.000 0.000 0.000
0.250 0.250 0.250
0.127 0.624 0.624
0.624 0.127 0.624
0.624 0.624 0.127
0.624 0.624 0.624

***

Record 14
CaY2Mg4, relaxed, DFT PBE; SG = No. 139; E = -2.943 eV per atom
1.0
-3.973 3.973 3.505
3.973 -3.973 3.505
3.973 3.973 -3.505
Ca Y Mg
1 2 4
direct
0.000 0.000 0.000
0.000 0.500 0.500
0.500 0.000 0.500
0.000 0.000 0.500
0.000 0.500 0.000
0.500 0.000 0.000
0.500 0.500 0.500

***

Record 15
Ca2YMg, relaxed, DFT PBE; SG = No. 12; E = -2.908 eV per atom
1.0
3.572 -5.787 0.000
3.572 5.787 0.000
-1.190 0.000 3.276
Ca Y Mg
2 1 1
direct
0.000 0.500 0.000
0.500 0.000 0.000
0.000 0.000 0.500
0.500 0.500 0.500

***

Record 16
CaYMg2, relaxed, DFT PBE; SG = No. 122; E = -2.608 eV per atom
1.0
-4.322 4.322 3.354
4.322 -4.322 3.354
4.322 4.322 -3.354
Ca Y Mg
2 2 4
direct
0.000 0.000 0.000
0.750 0.250 0.500
0.250 0.750 0.500
0.500 0.500 0.000
0.127 0.125 0.502
0.375 0.873 0.998
0.623 0.625 0.498
0.875 0.377 0.002

***

Record 17
CaY2Mg6, relaxed, DFT PBE; SG = No. 191; E = -2.785 eV per atom
1.0
9.066 0.000 0.000
-4.533 7.851 0.000
0.000 0.000 3.428
Ca Y Mg
1 2 6
direct
0.000 0.000 0.000
0.333 0.667 0.000
0.667 0.333 0.000
0.000 0.337 0.500
0.000 0.663 0.500
0.337 0.000 0.500
0.337 0.337 0.500
0.663 0.000 0.500
0.663 0.663 0.500

***

Record 18
CaY2Mg9, relaxed, DFT PBE; SG = No. 166; E = -2.498 eV per atom
1.0
3.047 1.759 9.836
-3.047 1.759 9.836
0.000 -3.518 9.836
Ca Y Mg
1 2 9
direct
0.000 0.000 0.000
0.146 0.146 0.146
0.854 0.854 0.854
0.080 0.588 0.588
0.334 0.334 0.334
0.412 0.412 0.920
0.412 0.920 0.412
0.500 0.500 0.500
0.588 0.080 0.588
0.588 0.588 0.080
0.666 0.666 0.666
0.920 0.412 0.412

***

Record 19
Ca3YMg4, relaxed, DFT PBE; SG = No. 123; E = -2.439 eV per atom
1.0
3.855 0.000 0.000
0.000 3.855 0.000
0.000 0.000 16.260
Ca Y Mg
3 1 4
direct
0.000 0.000 0.000
0.000 0.000 0.258
0.000 0.000 0.742
0.000 0.000 0.500
0.500 0.500 0.130
0.500 0.500 0.386
0.500 0.500 0.614
0.500 0.500 0.870

***

Record 20
CaY4Mg5, relaxed, DFT PBE; SG = No. 123; E = -3.686 eV per atom
1.0
3.830 0.000 0.000
0.000 3.830 0.000
0.000 0.000 19.220
Ca Y Mg
1 4 5
direct
0.000 0.000 0.000
0.000 0.000 0.208
0.000 0.000 0.402
0.000 0.000 0.598
0.000 0.000 0.792
0.500 0.500 0.109
0.500 0.500 0.304
0.500 0.500 0.500
0.500 0.500 0.696
0.500 0.500 0.891